<A>
LaGeH2 | Alexandria via LeMat-Bulk | PBE-GGA | relaxed; DOS at the Fermi energy = 1.95 states/eV/cell; volume = 14.243 Å³ per atom
1.0
0.587 -3.449 2.532
-3.365 -2.480 1.085
-0.372 -3.976 -1.646
Ge H La
1 2 1
Cartesian
0.000 0.000 0.000
-0.788 -2.476 0.493
-2.363 -7.429 1.479
-1.575 -4.953 0.986

***

<B>
LaGeH2 | Alexandria via LeMat-Bulk | PBE-GGA | relaxed; DOS at the Fermi energy = 6.41 states/eV/cell; volume = 16.078 Å³ per atom
1.0
-2.644 -3.557 0.504
0.321 -0.858 -4.366
4.024 -5.905 -0.823
Ge H La
2 4 2
Cartesian
1.592 -4.485 -3.559
-1.161 -2.207 -1.931
0.757 -2.618 -2.848
2.162 -6.123 -2.263
0.971 -8.253 -3.798
-0.487 -3.645 -0.459
0.000 0.000 0.000
0.109 -5.835 -1.125

***

Most stable structure among those shown: <A>. Next: +0.140 eV/atom.